Compound: AcCd2Au3
Source: Alexandria via LeMat-Bulk
Functional: PBE
Structure: relaxed

Properties
The value obtained for the total energy is -3.12 eV/atom. Its space group is No. 194. The total moment is 0.000 μB/atom. The value obtained for the density of states at the Fermi level is 6.3 states/eV/cell. The value obtained for the energy relative to the elements is -0.493 eV/atom.

a b c (Å): 4.892 4.892 13.716
angles (deg): 90.00 90.00 120.00
Fractional coordinates of all 12 atoms:
1 Au 0.333 0.667 0.135
2 Ac 0.000 0.000 0.750
3 Cd 0.333 0.667 0.923
4 Cd 0.667 0.333 0.077
5 Cd 0.333 0.667 0.577
6 Au 0.000 0.000 0.500
7 Au 0.333 0.667 0.365
8 Au 0.000 0.000 0.000
9 Cd 0.667 0.333 0.423
10 Ac 0.000 0.000 0.250
11 Au 0.667 0.333 0.865
12 Au 0.667 0.333 0.635